No. 1
Tm4InFe: optimized geometry, GGA-PBE.

abc: 7.6915 7.6915 5.9229
angles: 99.62 99.62 111.78
Fractional positions:
Tm: 0.0556 0.7302 0.9529
Tm: 0.1986 0.3508 0.6148
Tm: 0.2698 0.9444 0.5471
Tm: 0.3508 0.1986 0.1148
Tm: 0.6492 0.8014 0.8852
Tm: 0.7302 0.0556 0.4529
Tm: 0.8014 0.6492 0.3852
Tm: 0.9444 0.2698 0.0471
In: 0.3733 0.6267 0.2500
In: 0.6267 0.3733 0.7500
Fe: 0.0008 0.9992 0.7500
Fe: 0.9992 0.0008 0.2500

Results
formation energy from the elements: -0.210 eV/atom
DOS at the Fermi energy: 0.9195 states/eV/atom
V: 25.88 Å³ per atom
mass density: 9.05 Mg/m³
symmetry: C2/c (15)

***

No. 2
LiPW2: optimized geometry, GGA-PBE.

abc: 2.7357 4.0662 5.3783
angles: 90.00 93.68 90.00
Fractional positions:
Li: 0.0000 0.0000 0.0000
P: 0.5188 0.5000 0.1789
W: 0.3810 0.5000 0.7212
W: 0.6803 0.0000 0.4732

Results
formation energy from the elements: 0.168 eV/atom
DOS at the Fermi energy: 0.5310 states/eV/atom
V: 14.93 Å³ per atom
mass density: 11.28 Mg/m³
symmetry: Pm (6)